Record 1
Computed, not measured: an optimized crystal structure of YHg2HO at the PBE level of DFT.

As for the total magnetic moment: 0.000 μB per formula unit.

The space group is P4/mmm (No. 123) and the conventional cell measures 4.485, 4.485 and 5.191 Å, with angles of 90.00, 90.00 and 90.00 degrees. Symmetry generates all atoms from Y at (0.000, 0.000, 0.000), Hg at (0.000, 0.500, 0.500), H at (0.500, 0.500, 0.000) and O at (0.500, 0.500, 0.500).

Record 2
Computed, not measured: an optimized crystal structure of YHgH2O at the PBE level of DFT.

As for the total magnetic moment: 0.505 μB per formula unit.

The space group is P4/mmm (No. 123) and the conventional cell measures 4.605, 4.605 and 4.133 Å, with angles of 90.00, 90.00 and 90.00 degrees. Symmetry generates all atoms from Y at (0.000, 0.000, 0.000), Hg at (0.500, 0.500, 0.000), H at (0.000, 0.500, 0.500) and O at (0.000, 0.000, 0.500).

| no. | energy (eV/atom) | density of states at the Fermi level (states/eV per cell) |
| --- | --- | --- |
| 1 | -2.66 | 3.5 |
| 2 | -3.82 | 2.6 |